# 1
! BeGe3O, optimized geometry, DFT PBEsol; values from VASP
&SYSTEM
  ibrav = 0, nat = 5, ntyp = 3
/
ATOMIC_SPECIES
Be 9.01 Be.upf
Ge 72.64 Ge.upf
O 16.00 O.upf
ATOMIC_POSITIONS crystal
Be 0.0000 0.0000 0.0000
Ge 0.0000 0.5000 0.5000
Ge 0.5000 0.0000 0.5000
Ge 0.5000 0.5000 0.0000
O 0.5000 0.5000 0.5000
CELL_PARAMETERS angstrom
4.2976 0.0000 0.0000
0.0000 4.2976 0.0000
0.0000 0.0000 4.2976
! SG: Pm-3m
! ΔE_f (raw) in eV/f.u.: 1.34
! Density of states at the Fermi level in states/eV/cell: 1.28

---

# 2
! CrCoHg2, optimized geometry, DFT PBEsol; values from VASP
&SYSTEM
  ibrav = 0, nat = 4, ntyp = 3
/
ATOMIC_SPECIES
Cr 52.00 Cr.upf
Co 58.93 Co.upf
Hg 200.59 Hg.upf
ATOMIC_POSITIONS crystal
Cr 0.0000 0.0000 0.0000
Co 0.5000 0.5000 0.5000
Hg 0.2500 0.2500 0.2500
Hg 0.7500 0.7500 0.7500
CELL_PARAMETERS angstrom
0.0000 3.1670 3.1670
3.1670 0.0000 3.1670
3.1670 3.1670 0.0000
! SG: Fm-3m
! Density of states at the Fermi level in states/eV/cell: 3.38
! E_form in eV per atom: 0.485

---

The lowest density of states at the Fermi level belongs to which entry? BeGe3O

---

Which value of density of states at the Fermi level does entry 1 give? 1.28 states/eV/cell

---

What is the density of states at the Fermi level in the first record? 1.28 states/eV/cell

---

What is the formula in the second record? CrCoHg2